1.
# GGA-PBEsol CrS3Br, relaxed
data_CrS3Br
_space_group_name_H-M_alt 'P m -3 m'
_space_group_IT_number 221
_space_group_name_Hall '-P 4 2 3'
_cell_length_a 4.7729
_cell_length_b 4.7729
_cell_length_c 4.7729
_cell_angle_alpha 90.00
_cell_angle_beta 90.00
_cell_angle_gamma 90.00
loop_
_atom_site_label
_atom_site_type_symbol
_atom_site_fract_x
_atom_site_fract_y
_atom_site_fract_z
Cr1 Cr 0.0000 0.0000 0.0000
S1 S 0.0000 0.5000 0.5000
Br1 Br 0.5000 0.5000 0.5000
# **Magnetic moment**: 3.66 μB/f.u.
# **Raw formation energy**: 1.13 eV/atom
# **N(E_F)**: 6.15 states/eV/cell
# **Raw total energy**: -3.919 eV per atom



2.
# GGA-PBEsol ScSbRu2, relaxed
data_ScSbRu2
_space_group_name_H-M_alt 'F -4 3 m'
_space_group_IT_number 216
_space_group_name_Hall 'F -4 2 3'
_cell_length_a 6.4074
_cell_length_b 6.4074
_cell_length_c 6.4074
_cell_angle_alpha 90.00
_cell_angle_beta 90.00
_cell_angle_gamma 90.00
loop_
_atom_site_label
_atom_site_type_symbol
_atom_site_fract_x
_atom_site_fract_y
_atom_site_fract_z
Sc1 Sc 0.0000 0.0000 0.0000
Sb1 Sb 0.2500 0.2500 0.7500
Ru1 Ru 0.0000 0.0000 0.5000
Ru2 Ru 0.2500 0.2500 0.2500
# **Magnetic moment**: 0.86 μB/f.u.
# **Raw formation energy**: 0.03 eV/atom
# **N(E_F)**: 25.90 states/eV/cell
# **Raw total energy**: -7.847 eV per atom